(1)
# ZnCr2RuSe GGA-PBEsol relaxed
data_ZnCr2RuSe
_chemical_formula_sum 'Zn1 Cr2 Ru1 Se1'
_cell_length_a 4.700
_cell_length_b 4.700
_cell_length_c 4.604
_cell_angle_alpha 90.00
_cell_angle_beta 90.00
_cell_angle_gamma 90.00
_symmetry_space_group_name_H-M 'P 4/m m m'
_symmetry_Int_Tables_number 123
_symmetry_space_group_name_Hall '-P 4 2'
loop_
_atom_site_label
_atom_site_type_symbol
_atom_site_fract_x
_atom_site_fract_y
_atom_site_fract_z
Zn1 Zn 0.000 0.000 0.000
Cr1 Cr 0.000 0.500 0.500
Ru1 Ru 0.500 0.500 0.500
Se1 Se 0.500 0.500 0.000
# **Formation energy (no corrections)**: 1.0507 eV per atom

=====

(2)
# Ce2Al3GaPd4 GGA-PBEsol relaxed
data_Ce2Al3GaPd4
_chemical_formula_sum 'Ce2 Al3 Ga1 Pd4'
_cell_length_a 4.223
_cell_length_b 4.223
_cell_length_c 10.303
_cell_angle_alpha 90.00
_cell_angle_beta 90.00
_cell_angle_gamma 90.00
_symmetry_space_group_name_H-M 'P -4 m 2'
_symmetry_Int_Tables_number 115
loop_
_symmetry_equiv_pos_as_xyz
'x,y,z'
'y,-x,-z'
'-x,-y,z'
'-y,x,-z'
'-x,y,z'
'-y,-x,-z'
'x,-y,z'
'y,x,-z'
loop_
_atom_site_label
_atom_site_type_symbol
_atom_site_fract_x
_atom_site_fract_y
_atom_site_fract_z
Ce1 Ce 0.000 0.500 0.245
Al1 Al 0.000 0.000 0.000
Al2 Al 0.000 0.500 0.627
Ga1 Ga 0.500 0.500 0.000
Pd1 Pd 0.000 0.000 0.500
Pd2 Pd 0.000 0.500 0.865
Pd3 Pd 0.500 0.500 0.500
# **E_form**: -17.48 kcal/mol of atoms

=====

(3)
# CaAgP GGA-PBEsol relaxed
data_CaAgP
_chemical_formula_sum 'Ca1 Ag1 P1'
_cell_length_a 4.2133
_cell_length_b 4.2133
_cell_length_c 4.0175
_cell_angle_alpha 90.00
_cell_angle_beta 90.00
_cell_angle_gamma 120.00
_symmetry_space_group_name_H-M 'P -6 m 2'
_symmetry_Int_Tables_number 187
_symmetry_space_group_name_Hall 'P -6 2'
loop_
_atom_site_label
_atom_site_type_symbol
_atom_site_fract_x
_atom_site_fract_y
_atom_site_fract_z
Ca1 Ca 0.0000 0.0000 0.0000
Ag1 Ag 0.3333 0.6667 0.5000
P1 P 0.6667 0.3333 0.5000
# **E_form**: -16.36 kcal/mol of atoms

=====

(4)
# Cr2CdRu GGA-PBEsol relaxed
data_Cr2CdRu
_chemical_formula_sum 'Cr4 Cd2 Ru2'
_cell_length_a 8.904
_cell_length_b 2.779
_cell_length_c 4.708
_cell_angle_alpha 90.00
_cell_angle_beta 100.40
_cell_angle_gamma 90.00
_symmetry_space_group_name_H-M 'C 1 2/m 1'
_symmetry_Int_Tables_number 12
loop_
_symmetry_equiv_pos_as_xyz
'x,y,z'
'-x,-y,-z'
'-x,y,-z'
'x,-y,z'
'x+1/2,y+1/2,z'
'-x+1/2,-y+1/2,-z'
'-x+1/2,y+1/2,-z'
'x+1/2,-y+1/2,z'
loop_
_atom_site_label
_atom_site_type_symbol
_atom_site_fract_x
_atom_site_fract_y
_atom_site_fract_z
Cr1 Cr 0.242 0.000 0.177
Cd1 Cd 0.000 0.000 0.500
Ru1 Ru 0.000 0.500 0.000
# **E_form**: 10.74 kcal/mol of atoms